# Ac3Mg3Tl2Cd

An optimized crystal structure of Ac3Mg3Tl2Cd (PBE, Alexandria via LeMat-Bulk).

```
Ac3Mg3Tl2Cd
1.0
8.022 0.000 0.000
-4.011 6.948 0.000
0.000 0.000 5.004
Ac Mg Tl Cd
3 3 2 1
direct
0.000 0.423 0.000 Ac
0.423 0.000 0.000 Ac
0.577 0.577 0.000 Ac
0.000 0.766 0.500 Mg
0.234 0.234 0.500 Mg
0.766 0.000 0.500 Mg
0.333 0.667 0.500 Tl
0.667 0.333 0.500 Tl
0.000 0.000 0.000 Cd
```

Computed properties:
The value obtained for the formation energy is -0.317 eV per atom. As for the total magnetization: 0.0 Bohr magnetons per cell.

# Ac2Mg12TlCd3

An optimized crystal structure of Ac2Mg12TlCd3 (PBE, Alexandria via LeMat-Bulk).

```
Ac2Mg12TlCd3
1.0
3.391 1.958 12.758
-3.391 1.958 12.758
0.000 -3.916 12.758
Ac Mg Tl Cd
2 12 1 3
direct
0.140 0.140 0.140 Ac
0.860 0.860 0.860 Ac
0.096 0.096 0.650 Mg
0.096 0.650 0.096 Mg
0.100 0.615 0.615 Mg
0.350 0.904 0.904 Mg
0.385 0.385 0.900 Mg
0.385 0.900 0.385 Mg
0.615 0.100 0.615 Mg
0.615 0.615 0.100 Mg
0.650 0.096 0.096 Mg
0.900 0.385 0.385 Mg
0.904 0.350 0.904 Mg
0.904 0.904 0.350 Mg
0.500 0.500 0.500 Tl
0.000 0.500 0.500 Cd
0.500 0.000 0.500 Cd
0.500 0.500 0.000 Cd
```

Computed properties:
The value obtained for the formation energy is 0.060 eV per atom. As for the total magnetization: 0.0 Bohr magnetons per cell.

# Ac2Mg4Tl3Cd

An optimized crystal structure of Ac2Mg4Tl3Cd (PBE, Alexandria via LeMat-Bulk).

```
Ac2Mg4Tl3Cd
1.0
4.843 0.000 0.000
0.000 4.843 0.000
0.000 0.000 11.970
Ac Mg Tl Cd
2 4 3 1
direct
0.000 0.500 0.247 Ac
0.500 0.000 0.753 Ac
0.000 0.000 0.500 Mg
0.000 0.500 0.870 Mg
0.500 0.000 0.130 Mg
0.500 0.500 0.500 Mg
0.000 0.000 0.000 Tl
0.000 0.500 0.638 Tl
0.500 0.000 0.362 Tl
0.500 0.500 0.000 Cd
```

Computed properties:
The value obtained for the formation energy is -0.249 eV per atom. As for the total magnetization: 0.0 Bohr magnetons per cell.

# AcMg2TlCd4

An optimized crystal structure of AcMg2TlCd4 (PBE, Alexandria via LeMat-Bulk).

```
AcMg2TlCd4
1.0
2.503 1.445 9.859
-2.503 1.445 9.859
0.000 -2.890 9.859
Ac Mg Tl Cd
1 2 1 4
direct
0.000 0.000 0.000 Ac
0.247 0.247 0.247 Mg
0.753 0.753 0.753 Mg
0.500 0.500 0.500 Tl
0.121 0.121 0.121 Cd
0.395 0.395 0.395 Cd
0.605 0.605 0.605 Cd
0.879 0.879 0.879 Cd
```

Computed properties:
The value obtained for the formation energy is -0.130 eV per atom. As for the total magnetization: 0.0 Bohr magnetons per cell.